DFT (PBE-GGA) results for a relaxed structure of AcLaPdAu. Values from VASP.

## Properties
- symmetry = No. 216
- offset from the most stable computed form (eV per atom) = 0.0735

```
&SYSTEM
  ibrav = 0, nat = 4, ntyp = 4
/
ATOMIC_SPECIES
Pd 106.42 Pd.upf
Au 196.97 Au.upf
Ac 227.00 Ac.upf
La 138.91 La.upf
ATOMIC_POSITIONS angstrom
Pd 5.374 3.103 2.194
Au 0.000 0.000 0.000
Ac 8.061 4.654 3.291
La 2.687 1.551 1.097
CELL_PARAMETERS angstrom
5.374 0.000 0.000
2.687 4.654 0.000
2.687 1.551 4.388
```

=====

DFT (PBE-GGA) results for a relaxed structure of AcLaPdAu. Values from VASP.

## Properties
- symmetry = No. 38
- offset from the most stable computed form (eV per atom) = 0.0000

```
&SYSTEM
  ibrav = 0, nat = 4, ntyp = 4
/
ATOMIC_SPECIES
Ac 227.00 Ac.upf
La 138.91 La.upf
Au 196.97 Au.upf
Pd 106.42 Pd.upf
ATOMIC_POSITIONS angstrom
Ac -0.018 -1.011 1.212
La -3.207 -2.426 3.380
Au -3.170 -0.360 0.904
Pd -0.054 -3.020 3.619
CELL_PARAMETERS angstrom
-2.315 2.599 2.134
-4.002 -2.087 -1.801
1.092 -4.964 3.324
```

=====

DFT (PBE-GGA) results for a relaxed structure of AcLaRhAu. Values from VASP.

## Properties
- symmetry = No. 6
- offset from the most stable computed form (eV per atom) = 0.0000

```
&SYSTEM
  ibrav = 0, nat = 4, ntyp = 4
/
ATOMIC_SPECIES
Au 196.97 Au.upf
Ac 227.00 Ac.upf
Rh 102.91 Rh.upf
La 138.91 La.upf
ATOMIC_POSITIONS angstrom
Au -0.116 3.619 2.772
Ac -1.614 2.270 0.474
Rh -3.015 0.398 2.486
La -1.518 1.746 4.782
CELL_PARAMETERS angstrom
-0.894 3.910 -1.712
-3.694 0.167 2.313
3.002 2.697 4.592
```

=====

DFT (PBE-GGA) results for a relaxed structure of Ac2La2RhAu2. Values from VASP.

## Properties
- symmetry = No. 2
- total DFT energy (no corrections) (eV/atom) = -5.216

```
&SYSTEM
  ibrav = 0, nat = 7, ntyp = 4
/
ATOMIC_SPECIES
La 138.91 La.upf
Au 196.97 Au.upf
Ac 227.00 Ac.upf
Rh 102.91 Rh.upf
ATOMIC_POSITIONS angstrom
La 2.517 2.673 4.720
Au 1.695 -0.231 5.587
Ac 4.702 -0.706 4.221
La 6.316 0.433 7.882
Ac 4.131 3.812 8.381
Rh 0.000 0.000 0.000
Au 7.138 3.337 7.015
CELL_PARAMETERS angstrom
-1.569 -1.548 3.596
7.462 -0.511 3.036
2.940 5.166 5.969
```

=====

DFT (PBE-GGA) results for a relaxed structure of AcLaRhAu. Values from VASP.

## Properties
- symmetry = No. 216
- offset from the most stable computed form (eV per atom) = 0.0134

```
&SYSTEM
  ibrav = 0, nat = 4, ntyp = 4
/
ATOMIC_SPECIES
Ac 227.00 Ac.upf
La 138.91 La.upf
Au 196.97 Au.upf
Rh 102.91 Rh.upf
ATOMIC_POSITIONS angstrom
Ac -1.927 -4.213 -8.574
La -0.642 -1.404 -2.858
Au 0.000 0.000 0.000
Rh -1.285 -2.809 -5.716
CELL_PARAMETERS angstrom
-2.807 0.391 -4.484
2.095 -1.633 -4.592
-1.858 -4.375 -2.356
```

=====

DFT (PBE-GGA) results for a relaxed structure of AcLa2RuAu. Values from VASP.

## Properties
- symmetry = No. 99
- total DFT energy (no corrections) (eV/atom) = -5.609

```
&SYSTEM
  ibrav = 0, nat = 5, ntyp = 4
/
ATOMIC_SPECIES
Au 196.97 Au.upf
La 138.91 La.upf
Ac 227.00 Ac.upf
Ru 101.07 Ru.upf
ATOMIC_POSITIONS angstrom
Au -1.191 5.003 1.627
La 0.675 4.500 4.246
Ac -2.849 2.931 4.551
Ru 0.000 0.001 0.000
La -2.421 6.749 4.084
CELL_PARAMETERS angstrom
-1.920 3.626 -3.538
-4.274 0.871 3.212
2.986 4.315 2.803
```

=====

DFT (PBE-GGA) results for a relaxed structure of AcLaRuAu. Values from VASP.

## Properties
- symmetry = No. 216
- total DFT energy (no corrections) (eV/atom) = -5.789

```
&SYSTEM
  ibrav = 0, nat = 4, ntyp = 4
/
ATOMIC_SPECIES
Ac 227.00 Ac.upf
La 138.91 La.upf
Ru 101.07 Ru.upf
Au 196.97 Au.upf
ATOMIC_POSITIONS angstrom
Ac 5.275 3.045 2.153
La 0.000 0.000 0.000
Ru 7.912 4.568 3.230
Au 2.637 1.523 1.077
CELL_PARAMETERS angstrom
5.275 0.000 0.000
2.637 4.568 0.000
2.637 1.523 4.307
```

=====

DFT (PBE-GGA) results for a relaxed structure of Ac2La2RuAu2. Values from VASP.

## Properties
- symmetry = No. 12
- total DFT energy (no corrections) (eV/atom) = -5.372

```
&SYSTEM
  ibrav = 0, nat = 7, ntyp = 4
/
ATOMIC_SPECIES
Ac 227.00 Ac.upf
La 138.91 La.upf
Au 196.97 Au.upf
Ru 101.07 Ru.upf
ATOMIC_POSITIONS angstrom
Ac 4.253 -6.704 3.619
La 0.443 -2.628 0.975
Au 5.910 -4.213 4.855
Au 1.467 -5.052 2.939
Ac 3.123 -2.561 4.175
Ru 0.000 0.000 0.000
La 6.933 -6.637 6.819
CELL_PARAMETERS angstrom
-2.214 -2.946 1.919
5.662 -4.869 -0.939
3.928 -1.450 6.814
```

=====

DFT (PBE-GGA) results for a relaxed structure of Ac2LaSi3Au12. Values from VASP.

## Properties
- symmetry = No. 166
- ΔE_f (raw) (eV/atom) = -0.256

```
&SYSTEM
  ibrav = 0, nat = 18, ntyp = 4
/
ATOMIC_SPECIES
Si 28.09 Si.upf
Au 196.97 Au.upf
Ac 227.00 Ac.upf
La 138.91 La.upf
ATOMIC_POSITIONS angstrom
Si 0.819 2.792 3.011
Au 5.717 -0.436 8.474
Au 3.665 -2.037 9.518
Au 0.236 -0.870 6.139
Au 4.961 -1.193 13.311
Au 2.758 1.980 13.845
Au 1.681 2.664 5.345
Au 1.180 -0.885 10.125
Si 3.329 -0.822 2.403
Au 0.925 1.908 10.182
Au 2.978 3.509 9.138
Au 6.407 2.341 12.518
Au 5.462 2.356 8.532
Si -0.827 -1.233 3.915
Au 3.885 -0.509 4.811
Ac 2.664 0.590 7.483
Ac 3.978 0.881 11.173
La 0.000 0.000 0.000
CELL_PARAMETERS angstrom
-1.654 -2.467 7.829
6.658 -1.645 4.805
1.639 5.583 6.022
```

=====

DFT (PBE-GGA) results for a relaxed structure of AcLaTeAu. Values from VASP.

## Properties
- symmetry = No. 160
- offset from the most stable computed form (eV per atom) = 0.0000
- ΔE_f (raw) (eV/atom) = -1.127

```
&SYSTEM
  ibrav = 0, nat = 4, ntyp = 4
/
ATOMIC_SPECIES
La 138.91 La.upf
Au 196.97 Au.upf
Ac 227.00 Ac.upf
Te 127.60 Te.upf
ATOMIC_POSITIONS angstrom
La -5.864 1.295 -4.855
Au -3.187 -0.141 -0.337
Ac -6.377 -0.283 -0.672
Te -9.782 -0.525 -0.783
CELL_PARAMETERS angstrom
-3.058 2.755 -1.711
-2.712 -1.417 -3.242
-7.190 -2.000 3.823
```

=====

DFT (PBE-GGA) results for a relaxed structure of AcLaTeAu. Values from VASP.

## Properties
- symmetry = No. 216
- offset from the most stable computed form (eV per atom) = 0.2061
- ΔE_f (raw) (eV/atom) = -0.921

```
&SYSTEM
  ibrav = 0, nat = 4, ntyp = 4
/
ATOMIC_SPECIES
Te 127.60 Te.upf
Au 196.97 Au.upf
La 138.91 La.upf
Ac 227.00 Ac.upf
ATOMIC_POSITIONS angstrom
Te -2.306 -1.795 -1.764
Au -6.917 -5.384 -5.292
La -4.611 -3.589 -3.528
Ac 0.000 0.000 0.000
CELL_PARAMETERS angstrom
-5.282 -0.125 -1.774
-1.219 -2.200 -4.974
-2.722 -4.854 -0.309
```

=====

DFT (PBE-GGA) results for a relaxed structure of AcLaTlAu. Values from VASP.

## Properties
- symmetry = No. 99
- offset from the most stable computed form (eV per atom) = 0.0000

```
&SYSTEM
  ibrav = 0, nat = 4, ntyp = 4
/
ATOMIC_SPECIES
Au 196.97 Au.upf
Tl 204.38 Tl.upf
Ac 227.00 Ac.upf
La 138.91 La.upf
ATOMIC_POSITIONS angstrom
Au 4.777 2.693 1.079
Tl 1.905 0.311 2.182
Ac 5.050 4.189 -1.939
La 2.300 1.907 -0.883
CELL_PARAMETERS angstrom
-0.241 1.863 3.396
2.607 -2.439 1.522
6.051 5.019 -2.323
```

=====

DFT (PBE-GGA) results for a relaxed structure of AcLaTlAu. Values from VASP.

## Properties
- symmetry = No. 216
- offset from the most stable computed form (eV per atom) = 0.0441

```
&SYSTEM
  ibrav = 0, nat = 4, ntyp = 4
/
ATOMIC_SPECIES
Au 196.97 Au.upf
Ac 227.00 Ac.upf
Tl 204.38 Tl.upf
La 138.91 La.upf
ATOMIC_POSITIONS angstrom
Au 0.000 0.000 0.000
Ac 8.402 4.851 3.430
Tl 5.601 3.234 2.287
La 2.801 1.617 1.143
CELL_PARAMETERS angstrom
5.601 0.000 0.000
2.801 4.851 0.000
2.801 1.617 4.573
```

=====

DFT (PBE-GGA) results for a relaxed structure of AcLaTmAu. Values from VASP.

## Properties
- symmetry = No. 216
- total DFT energy (no corrections) (eV/atom) = -4.225

```
&SYSTEM
  ibrav = 0, nat = 4, ntyp = 4
/
ATOMIC_SPECIES
Tm 168.93 Tm.upf
La 138.91 La.upf
Au 196.97 Au.upf
Ac 227.00 Ac.upf
ATOMIC_POSITIONS angstrom
Tm 8.282 4.782 3.381
La 2.761 1.594 1.127
Au 0.000 0.000 0.000
Ac 5.521 3.188 2.254
CELL_PARAMETERS angstrom
5.521 0.000 0.000
2.761 4.782 0.000
2.761 1.594 4.508
```

=====

DFT (PBE-GGA) results for a relaxed structure of AcLaZnAu. Values from VASP.

## Properties
- symmetry = No. 99
- offset from the most stable computed form (eV per atom) = 0.0000

```
&SYSTEM
  ibrav = 0, nat = 4, ntyp = 4
/
ATOMIC_SPECIES
Zn 65.41 Zn.upf
Ac 227.00 Ac.upf
La 138.91 La.upf
Au 196.97 Au.upf
ATOMIC_POSITIONS angstrom
Zn 0.000 0.000 2.818
Ac 1.934 1.934 0.807
La 1.934 1.934 4.609
Au 0.000 0.000 6.399
CELL_PARAMETERS angstrom
3.868 0.000 0.000
0.000 3.868 0.000
0.000 0.000 7.590
```

=====

DFT (PBE-GGA) results for a relaxed structure of AcLaZnAu. Values from VASP.

## Properties
- symmetry = No. 216
- offset from the most stable computed form (eV per atom) = 0.0184

```
&SYSTEM
  ibrav = 0, nat = 4, ntyp = 4
/
ATOMIC_SPECIES
Zn 65.41 Zn.upf
Au 196.97 Au.upf
Ac 227.00 Ac.upf
La 138.91 La.upf
ATOMIC_POSITIONS angstrom
Zn -0.352 -3.036 -1.333
Au -1.056 -9.107 -4.000
Ac 0.000 0.000 0.000
La -0.704 -6.071 -2.667
CELL_PARAMETERS angstrom
-2.982 -3.051 -3.383
2.398 -3.823 -3.047
-0.824 -5.269 1.097
```

=====

DFT (PBE-GGA) results for a relaxed structure of Li6AcAu2. Values from VASP.

## Properties
- symmetry = No. 123
- offset from the most stable computed form (eV per atom) = 0.0000

```
&SYSTEM
  ibrav = 0, nat = 9, ntyp = 3
/
ATOMIC_SPECIES
Li 6.94 Li.upf
Au 196.97 Au.upf
Ac 227.00 Ac.upf
ATOMIC_POSITIONS angstrom
Li -2.361 -7.572 1.569
Au -2.507 -0.949 1.963
Ac 0.000 0.000 0.000
Au -2.822 -8.678 3.981
Li -2.179 -3.123 0.407
Li -2.665 -4.813 2.972
Li -0.703 -7.016 3.955
Li -0.217 -5.326 1.391
Li -0.521 -2.568 2.794
CELL_PARAMETERS angstrom
-0.789 1.068 3.968
-4.105 -0.043 -0.805
-0.435 -10.652 2.781
```

=====

DFT (PBE-GGA) results for a relaxed structure of Li3AcAu2. Values from VASP.

## Properties
- symmetry = No. 12
- offset from the most stable computed form (eV per atom) = 0.0000

```
&SYSTEM
  ibrav = 0, nat = 12, ntyp = 3
/
ATOMIC_SPECIES
Li 6.94 Li.upf
Ac 227.00 Ac.upf
Au 196.97 Au.upf
ATOMIC_POSITIONS angstrom
Li 0.000 5.348 2.546
Ac 0.000 2.097 0.363
Li 2.152 1.356 3.548
Au 0.000 4.662 6.094
Li 2.152 -0.961 4.983
Li 0.000 3.031 3.981
Au 2.152 3.735 2.163
Li 2.152 4.943 4.549
Ac 2.152 2.290 7.166
Au 0.000 0.652 5.367
Li 0.000 -0.556 2.980
Au 2.152 -0.275 1.435
CELL_PARAMETERS angstrom
4.304 0.000 0.000
-2.152 8.011 -0.008
0.000 -3.624 7.538
```

=====

DFT (PBE-GGA) results for a relaxed structure of Li2AcAu. Values from VASP.

## Properties
- symmetry = No. 166
- offset from the most stable computed form (eV per atom) = 0.1337

```
&SYSTEM
  ibrav = 0, nat = 4, ntyp = 3
/
ATOMIC_SPECIES
Li 6.94 Li.upf
Ac 227.00 Ac.upf
Au 196.97 Au.upf
ATOMIC_POSITIONS angstrom
Li 1.458 -7.407 3.620
Li 1.493 -2.560 1.653
Ac 0.000 0.000 0.000
Au 1.475 -4.984 2.636
CELL_PARAMETERS angstrom
-1.598 -2.780 3.037
-0.045 -4.345 -0.790
4.593 -2.842 3.026
```

=====

DFT (PBE-GGA) results for a relaxed structure of Li4Ac5Au4. Values from VASP.

## Properties
- symmetry = No. 87
- total DFT energy (no corrections) (eV/atom) = -3.677

```
&SYSTEM
  ibrav = 0, nat = 13, ntyp = 3
/
ATOMIC_SPECIES
Li 6.94 Li.upf
Ac 227.00 Ac.upf
Au 196.97 Au.upf
ATOMIC_POSITIONS angstrom
Li 2.977 3.047 5.683
Ac 1.314 0.837 3.527
Ac 2.110 3.095 9.094
Ac 4.744 8.293 7.434
Ac 3.948 6.036 1.867
Li 3.081 6.083 5.278
Au 3.707 2.964 2.814
Au 5.500 7.317 4.457
Au 2.351 6.167 8.147
Li 1.326 4.356 3.481
Au 0.557 1.814 6.504
Li 4.732 4.774 7.480
Ac 0.000 0.000 0.000
CELL_PARAMETERS angstrom
4.154 0.000 1.056
2.077 9.131 0.528
-0.173 0.000 9.377
```

=====

DFT (PBE-GGA) results for a relaxed structure of Li3AcAu. Values from VASP.

## Properties
- symmetry = No. 11
- offset from the most stable computed form (eV per atom) = 0.0000

```
&SYSTEM
  ibrav = 0, nat = 10, ntyp = 3
/
ATOMIC_SPECIES
Li 6.94 Li.upf
Au 196.97 Au.upf
Ac 227.00 Ac.upf
ATOMIC_POSITIONS angstrom
Li 0.804 -2.365 3.591
Li -0.597 -0.669 1.885
Au 4.447 0.739 6.252
Li -2.465 -1.925 4.443
Li -1.683 0.992 4.136
Li 3.168 -1.365 5.210
Ac 2.039 0.876 8.367
Au -0.497 1.869 6.600
Ac 1.911 1.731 4.485
Li -0.101 -0.925 6.062
CELL_PARAMETERS angstrom
-5.105 -1.503 2.700
2.984 -3.613 3.632
3.247 5.897 3.199
```

=====

DFT (PBE-GGA) results for a relaxed structure of LiAcAu2. Values from VASP.

## Properties
- symmetry = No. 123
- offset from the most stable computed form (eV per atom) = 0.1601

```
&SYSTEM
  ibrav = 0, nat = 4, ntyp = 3
/
ATOMIC_SPECIES
Au 196.97 Au.upf
Ac 227.00 Ac.upf
Li 6.94 Li.upf
ATOMIC_POSITIONS angstrom
Au 0.000 2.525 0.000
Ac 1.949 2.525 2.525
Li 1.949 0.000 0.000
Au 0.000 0.000 2.525
CELL_PARAMETERS angstrom
3.897 0.000 0.000
0.000 5.050 0.000
0.000 0.000 5.050
```

=====

DFT (PBE-GGA) results for a relaxed structure of Li2AcAu2. Values from VASP.

## Properties
- symmetry = No. 139
- total DFT energy (no corrections) (eV/atom) = -3.539

```
&SYSTEM
  ibrav = 0, nat = 5, ntyp = 3
/
ATOMIC_SPECIES
Au 196.97 Au.upf
Li 6.94 Li.upf
Ac 227.00 Ac.upf
ATOMIC_POSITIONS angstrom
Au 0.044 -3.276 -0.444
Li 2.553 -2.850 0.542
Ac 0.000 0.000 0.000
Au 4.382 -2.047 -1.318
Li 1.873 -2.474 -2.304
CELL_PARAMETERS angstrom
-0.581 -3.043 2.795
-1.941 -2.290 -2.897
6.949 0.009 -1.659
```

=====

DFT (PBE-GGA) results for a relaxed structure of Li2AcAu. Values from VASP.

## Properties
- symmetry = No. 123
- offset from the most stable computed form (eV per atom) = 0.1356

```
&SYSTEM
  ibrav = 0, nat = 4, ntyp = 3
/
ATOMIC_SPECIES
Au 196.97 Au.upf
Li 6.94 Li.upf
Ac 227.00 Ac.upf
ATOMIC_POSITIONS angstrom
Au -2.457 -0.024 -1.244
Li -0.985 -0.134 1.948
Ac -3.364 -2.342 0.593
Li 0.078 -2.183 -0.111
CELL_PARAMETERS angstrom
-4.914 -0.049 -2.488
0.156 -4.367 -0.222
-1.970 -0.269 3.897
```

=====

DFT (PBE-GGA) results for a relaxed structure of LiAcAu. Values from VASP.

## Properties
- symmetry = No. 107
- offset from the most stable computed form (eV per atom) = 0.1203

```
&SYSTEM
  ibrav = 0, nat = 3, ntyp = 3
/
ATOMIC_SPECIES
Li 6.94 Li.upf
Ac 227.00 Ac.upf
Au 196.97 Au.upf
ATOMIC_POSITIONS angstrom
Li 1.937 1.937 1.530
Ac 1.937 1.937 4.549
Au 0.000 0.000 2.708
CELL_PARAMETERS angstrom
3.874 0.000 0.000
0.000 3.874 0.000
-1.937 -1.937 5.169
```

=====

DFT (PBE-GGA) results for a relaxed structure of LiAc4Au2. Values from VASP.

## Properties
- symmetry = No. 70
- total DFT energy (no corrections) (eV/atom) = -3.854

```
&SYSTEM
  ibrav = 0, nat = 14, ntyp = 3
/
ATOMIC_SPECIES
Au 196.97 Au.upf
Li 6.94 Li.upf
Ac 227.00 Ac.upf
ATOMIC_POSITIONS angstrom
Au 4.565 -2.929 -4.065
Li 2.262 -8.044 -2.564
Ac 2.697 -1.900 -1.820
Ac -1.736 -2.543 -1.183
Ac -2.120 -5.369 2.274
Ac -4.135 -5.448 -1.777
Li 4.356 -3.661 0.424
Au 0.921 -4.755 3.208
Au -1.109 -5.664 -0.638
Ac -0.098 -5.959 -3.550
Ac 1.917 -5.882 0.502
Au 0.146 -2.740 -3.634
Ac -2.403 -3.583 -5.447
Ac 2.029 -2.937 -6.084
CELL_PARAMETERS angstrom
-4.061 -1.821 -7.691
8.836 -0.376 -0.864
-2.513 -5.848 5.991
```